# 1
VASP calculation (PBE) on Ho3Ga9Ni2 after structural relaxation.

Summary:
**SG**: Immm, No. 71
**Total moment**: 0.00 μB/cell
**Formation enthalpy at 0 K**: -7.84 eV per formula unit

Unit cell a=8.059 b=8.059 c=8.059 alpha=150.06 beta=105.10 gamma=82.70
Fractional coordinates of all 14 atoms:
Ho  0.000  0.000  0.000
Ho  0.319  0.319  0.000
Ho  0.681  0.681  0.000
Ga  0.030  0.661  0.370
Ga  0.154  0.874  0.280
Ga  0.291  0.661  0.630
Ga  0.406  0.126  0.280
Ga  0.500  0.000  0.500
Ga  0.594  0.874  0.720
Ga  0.709  0.339  0.370
Ga  0.846  0.126  0.720
Ga  0.970  0.339  0.630
Ni  0.284  0.500  0.784
Ni  0.716  0.500  0.216

# 2
VASP calculation (PBE) on Tl2SiW after structural relaxation.

Summary:
**SG**: Pm, No. 6
**Total moment**: 0.00 μB/cell
**E_form (uncorrected)**: 677 meV per atom

Unit cell a=3.977 b=4.101 c=5.626 alpha=90.00 beta=110.69 gamma=90.00
Fractional coordinates of all 4 atoms:
Tl  0.000  0.000  0.000
Tl  0.313  0.500  0.625
Si  0.716  0.000  0.430
W  0.589  0.500  0.180

# 3
VASP calculation (PBE) on RbSr2Ca after structural relaxation.

Summary:
**SG**: P4/mmm, No. 123
**Total moment**: 0.00 μB/cell
**Formation enthalpy at 0 K**: 0.34 eV per formula unit

Unit cell a=4.258 b=4.258 c=12.761 alpha=90.00 beta=90.00 gamma=90.00
Fractional coordinates of all 4 atoms:
Rb  0.000  0.000  0.000
Sr  0.500  0.500  0.288
Sr  0.500  0.500  0.712
Ca  0.000  0.000  0.500

# 4
VASP calculation (PBE) on CsK2SrHf after structural relaxation.

Summary:
**SG**: P4/mmm, No. 123
**Total moment**: 3.60 μB/cell
**Formation enthalpy at 0 K**: 7.56 eV per formula unit

Unit cell a=7.440 b=7.440 c=7.861 alpha=90.00 beta=90.00 gamma=90.00
Fractional coordinates of all 5 atoms:
Cs  0.000  0.000  0.000
K  0.000  0.500  0.500
K  0.500  0.000  0.500
Sr  0.000  0.000  0.500
Hf  0.500  0.500  0.000

# 5
VASP calculation (PBE) on La2RhPb after structural relaxation.

Summary:
**SG**: R-3m, No. 166
**Total moment**: 0.00 μB/cell
**Formation enthalpy at 0 K**: -2.34 eV per formula unit

Unit cell a=4.111 b=4.111 c=25.254 alpha=90.00 beta=90.00 gamma=120.00
Fractional coordinates of all 12 atoms:
La  0.000  0.000  0.233
La  0.000  0.000  0.767
La  0.333  0.667  0.434
La  0.333  0.667  0.900
La  0.667  0.333  0.100
La  0.667  0.333  0.566
Rh  0.000  0.000  0.500
Rh  0.333  0.667  0.167
Rh  0.667  0.333  0.833
Pb  0.000  0.000  0.000
Pb  0.333  0.667  0.667
Pb  0.667  0.333  0.333

# 6
VASP calculation (PBE) on TmMgTlZn after structural relaxation.

Summary:
**SG**: F-43m, No. 216
**Total moment**: 0.00 μB/cell
**Formation enthalpy at 0 K**: -0.93 eV per formula unit

Unit cell a=7.117 b=7.117 c=7.117 alpha=90.00 beta=90.00 gamma=90.00
Fractional coordinates of all 16 atoms:
Tm  0.000  0.000  0.000
Tm  0.000  0.500  0.500
Tm  0.500  0.000  0.500
Tm  0.500  0.500  0.000
Mg  0.000  0.000  0.500
Mg  0.000  0.500  0.000
Mg  0.500  0.000  0.000
Mg  0.500  0.500  0.500
Tl  0.250  0.250  0.750
Tl  0.250  0.750  0.250
Tl  0.750  0.250  0.250
Tl  0.750  0.750  0.750
Zn  0.250  0.250  0.250
Zn  0.250  0.750  0.750
Zn  0.750  0.250  0.750
Zn  0.750  0.750  0.250